## LiCoHgMo (PBE-GGA)

Data for a geometry-optimized LiCoHgMo structure. Values from VASP.

The structure in Quantum ESPRESSO input format:
```
&SYSTEM
  ibrav = 0, nat = 4, ntyp = 4
/
ATOMIC_SPECIES
Li 6.94 Li.upf
Co 58.93 Co.upf
Hg 200.59 Hg.upf
Mo 95.94 Mo.upf
ATOMIC_POSITIONS crystal
Li 0.000 0.000 0.000
Co 0.500 0.500 0.500
Hg 0.250 0.250 0.250
Mo 0.750 0.750 0.750
CELL_PARAMETERS angstrom
0.000 3.025 3.025
3.025 0.000 3.025
3.025 3.025 0.000
```

## Properties
- Uncorrected energy: -4.779 eV/atom
- Crystal system: cubic